# BaTlGa PBE relaxed
# Formation energy (eV per atom): -0.40
data_BaTlGa
_chemical_formula_sum 'Ba2 Tl2 Ga2'
_space_group_name_H-M_alt 'P -1'
_space_group_IT_number 2
_cell_length_a 4.862
_cell_length_b 6.617
_cell_length_c 6.855
_cell_angle_alpha 75.19
_cell_angle_beta 69.37
_cell_angle_gamma 68.45
loop_
_space_group_symop_operation_xyz
'x,y,z'
'-x,-y,-z'
loop_
_atom_site_label
_atom_site_type_symbol
_atom_site_fract_x
_atom_site_fract_y
_atom_site_fract_z
Ba1 Ba 0.060 0.199 0.181
Tl1 Tl 0.308 0.604 0.281
Ga1 Ga 0.363 0.188 0.586

=====

# Dy2SiAs PBE relaxed
# Raw formation energy (eV/atom): -1.15
data_Dy2SiAs
_chemical_formula_sum 'Dy8 Si4 As4'
_space_group_name_H-M_alt 'C m c m'
_space_group_IT_number 63
_space_group_name_Hall '-C 2c 2'
_cell_length_a 4.222
_cell_length_b 22.446
_cell_length_c 3.948
_cell_angle_alpha 90.00
_cell_angle_beta 90.00
_cell_angle_gamma 90.00
loop_
_atom_site_label
_atom_site_type_symbol
_atom_site_fract_x
_atom_site_fract_y
_atom_site_fract_z
Dy1 Dy 0.000 0.064 0.250
Dy2 Dy 0.000 0.316 0.250
Si1 Si 0.000 0.463 0.250
As1 As 0.000 0.188 0.250

=====

# BaCI2N PBE relaxed
# Raw formation energy (eV/atom): 0.77
data_BaCI2N
_chemical_formula_sum 'Ba1 C1 I2 N1'
_space_group_name_H-M_alt 'P 4/m m m'
_space_group_IT_number 123
_space_group_name_Hall '-P 4 2'
_cell_length_a 6.418
_cell_length_b 6.418
_cell_length_c 3.167
_cell_angle_alpha 90.00
_cell_angle_beta 90.00
_cell_angle_gamma 90.00
loop_
_atom_site_label
_atom_site_type_symbol
_atom_site_fract_x
_atom_site_fract_y
_atom_site_fract_z
Ba1 Ba 0.000 0.000 0.000
C1 C 0.500 0.500 0.500
I1 I 0.000 0.500 0.500
N1 N 0.500 0.500 0.000

=====

# Pd2SBr PBE relaxed
# Raw formation energy (eV/atom): 0.28
data_Pd2SBr
_chemical_formula_sum 'Pd8 S4 Br4'
_space_group_name_H-M_alt 'F m -3 m'
_space_group_IT_number 225
_space_group_name_Hall '-F 4 2 3'
_cell_length_a 6.475
_cell_length_b 6.475
_cell_length_c 6.475
_cell_angle_alpha 90.00
_cell_angle_beta 90.00
_cell_angle_gamma 90.00
loop_
_atom_site_label
_atom_site_type_symbol
_atom_site_fract_x
_atom_site_fract_y
_atom_site_fract_z
Pd1 Pd 0.250 0.250 0.250
S1 S 0.000 0.000 0.000
Br1 Br 0.000 0.000 0.500

=====

# PrNd5Hg PBE relaxed
# Formation energy (eV per atom): -0.03
data_PrNd5Hg
_chemical_formula_sum 'Pr4 Nd20 Hg4'
_space_group_name_H-M_alt 'C 1 2/c 1'
_space_group_IT_number 15
_cell_length_a 8.912
_cell_length_b 8.584
_cell_length_c 12.625
_cell_angle_alpha 90.00
_cell_angle_beta 102.30
_cell_angle_gamma 90.00
loop_
_space_group_symop_operation_xyz
'x,y,z'
'-x,-y,-z'
'-x,y,-z+1/2'
'x,-y,z+1/2'
'x+1/2,y+1/2,z'
'-x+1/2,-y+1/2,-z'
'-x+1/2,y+1/2,-z+1/2'
'x+1/2,-y+1/2,z+1/2'
loop_
_atom_site_label
_atom_site_type_symbol
_atom_site_fract_x
_atom_site_fract_y
_atom_site_fract_z
Pr1 Pr 0.000 0.029 0.250
Nd1 Nd 0.000 0.360 0.750
Nd2 Nd 0.148 0.363 0.067
Nd3 Nd 0.217 0.328 0.366
Hg1 Hg 0.000 0.000 0.000

=====

# LiZnIr2 PBE relaxed
# Formation energy (eV per atom): -0.16
data_LiZnIr2
_chemical_formula_sum 'Li2 Zn2 Ir4'
_space_group_name_H-M_alt 'C 1 m 1'
_space_group_IT_number 8
_cell_length_a 9.211
_cell_length_b 2.758
_cell_length_c 4.526
_cell_angle_alpha 90.00
_cell_angle_beta 101.44
_cell_angle_gamma 90.00
loop_
_space_group_symop_operation_xyz
'x,y,z'
'x,-y,z'
'x+1/2,y+1/2,z'
'x+1/2,-y+1/2,z'
loop_
_atom_site_label
_atom_site_type_symbol
_atom_site_fract_x
_atom_site_fract_y
_atom_site_fract_z
Li1 Li 0.000 0.000 0.000
Zn1 Zn 0.240 0.000 0.825
Ir1 Ir 0.006 0.500 0.492
Ir2 Ir 0.263 0.500 0.332

=====

# LiLa2Mg PBE relaxed
# Formation energy (eV per atom): 0.00
data_LiLa2Mg
_chemical_formula_sum 'Li2 La4 Mg2'
_space_group_name_H-M_alt 'I m m 2'
_space_group_IT_number 44
_cell_length_a 3.743
_cell_length_b 5.620
_cell_length_c 11.175
_cell_angle_alpha 90.00
_cell_angle_beta 90.00
_cell_angle_gamma 90.00
loop_
_space_group_symop_operation_xyz
'x,y,z'
'-x,-y,z'
'-x,y,z'
'x,-y,z'
'x+1/2,y+1/2,z+1/2'
'-x+1/2,-y+1/2,z+1/2'
'-x+1/2,y+1/2,z+1/2'
'x+1/2,-y+1/2,z+1/2'
loop_
_atom_site_label
_atom_site_type_symbol
_atom_site_fract_x
_atom_site_fract_y
_atom_site_fract_z
Li1 Li 0.000 0.000 0.000
La1 La 0.000 0.000 0.469
La2 La 0.000 0.500 0.239
Mg1 Mg 0.000 0.500 0.696

=====

# YTh2S4 PBE relaxed
# Raw formation energy (eV/atom): -1.85
data_YTh2S4
_chemical_formula_sum 'Y4 Th8 S16'
_space_group_name_H-M_alt 'C m c m'
_space_group_IT_number 63
_space_group_name_Hall '-C 2c 2'
_cell_length_a 3.840
_cell_length_b 13.258
_cell_length_c 13.511
_cell_angle_alpha 90.00
_cell_angle_beta 90.00
_cell_angle_gamma 90.00
loop_
_atom_site_label
_atom_site_type_symbol
_atom_site_fract_x
_atom_site_fract_y
_atom_site_fract_z
Y1 Y 0.000 0.122 0.250
Th1 Th 0.000 0.361 0.068
S1 S 0.000 0.000 0.000
S2 S 0.000 0.285 0.631
S3 S 0.000 0.470 0.250

=====

# Re2Os5 PBE relaxed
# Formation energy (eV per atom): 0.08
data_Re2Os5
_chemical_formula_sum 'Re4 Os10'
_space_group_name_H-M_alt 'C 1 2/m 1'
_space_group_IT_number 12
_cell_length_a 8.683
_cell_length_b 3.870
_cell_length_c 6.109
_cell_angle_alpha 90.00
_cell_angle_beta 98.02
_cell_angle_gamma 90.00
loop_
_space_group_symop_operation_xyz
'x,y,z'
'-x,-y,-z'
'-x,y,-z'
'x,-y,z'
'x+1/2,y+1/2,z'
'-x+1/2,-y+1/2,-z'
'-x+1/2,y+1/2,-z'
'x+1/2,-y+1/2,z'
loop_
_atom_site_label
_atom_site_type_symbol
_atom_site_fract_x
_atom_site_fract_y
_atom_site_fract_z
Re1 Re 0.073 0.000 0.214
Os1 Os 0.000 0.500 0.500
Os2 Os 0.144 0.500 0.930
Os3 Os 0.215 0.000 0.642

=====

# InRe2Ni PBE relaxed
# Formation energy (eV per atom): 0.37
data_InRe2Ni
_chemical_formula_sum 'In2 Re4 Ni2'
_space_group_name_H-M_alt 'I -4 m 2'
_space_group_IT_number 119
_space_group_name_Hall 'I -4 -2'
_cell_length_a 4.064
_cell_length_b 4.064
_cell_length_c 7.375
_cell_angle_alpha 90.00
_cell_angle_beta 90.00
_cell_angle_gamma 90.00
loop_
_atom_site_label
_atom_site_type_symbol
_atom_site_fract_x
_atom_site_fract_y
_atom_site_fract_z
In1 In 0.000 0.000 0.000
Re1 Re 0.000 0.000 0.500
Re2 Re 0.000 0.500 0.250
Ni1 Ni 0.000 0.500 0.750

=====

# NaCaGa2 PBE relaxed
# Formation energy (eV per atom): -0.19
data_NaCaGa2
_chemical_formula_sum 'Na1 Ca1 Ga2'
_space_group_name_H-M_alt 'P 4/m m m'
_space_group_IT_number 123
_space_group_name_Hall '-P 4 2'
_cell_length_a 5.091
_cell_length_b 5.091
_cell_length_c 3.698
_cell_angle_alpha 90.00
_cell_angle_beta 90.00
_cell_angle_gamma 90.00
loop_
_atom_site_label
_atom_site_type_symbol
_atom_site_fract_x
_atom_site_fract_y
_atom_site_fract_z
Na1 Na 0.000 0.000 0.000
Ca1 Ca 0.500 0.500 0.000
Ga1 Ga 0.000 0.500 0.500

=====

# Pr8NdMg6 PBE relaxed
# Formation energy (eV per atom): 0.14
data_Pr8NdMg6
_chemical_formula_sum 'Pr24 Nd3 Mg18'
_space_group_name_H-M_alt 'R -3'
_space_group_IT_number 148
_space_group_name_Hall '-R 3'
_cell_length_a 9.3693
_cell_length_b 9.3693
_cell_length_c 20.0580
_cell_angle_alpha 90.00
_cell_angle_beta 90.00
_cell_angle_gamma 120.00
loop_
_atom_site_label
_atom_site_type_symbol
_atom_site_fract_x
_atom_site_fract_y
_atom_site_fract_z
Pr1 Pr 0.0000 0.0000 0.1666
Pr2 Pr 0.0001 0.3329 0.7140
Nd1 Nd 0.0000 0.0000 0.5000
Mg1 Mg 0.0001 0.3325 0.5460